This record from the Alexandria database describes crystalline Y2HoEr3Tm6 at its relaxed geometry. The functional is GGA-PBE.

As for the mass density: 8.4 Mg/m³. For the volume, the calculation gives 366.5 Å³/cell. Its density of states at the Fermi level is 1.45 states/eV/atom. The value obtained for the energy of formation from the pure elements is 27.0 meV/atom.

```
data_Y2HoEr3Tm6
_cell_length_a 6.0751
_cell_length_b 6.0751
_cell_length_c 11.6339
_cell_angle_alpha 94.99
_cell_angle_beta 94.99
_cell_angle_gamma 119.93
_symmetry_space_group_name_H-M 'P 1'
_symmetry_Int_Tables_number 1
loop_
_symmetry_equiv_pos_as_xyz
'x,y,z'
loop_
_atom_site_label
_atom_site_fract_x
_atom_site_fract_y
_atom_site_fract_z
_atom_site_occupancy
Y1 0.1667 0.8333 0.0000 1
Y2 0.8333 0.1667 0.0000 1
Ho1 0.5000 0.5000 0.0000 1
Er1 0.0000 0.0000 0.5000 1
Er2 0.3334 0.6666 0.5000 1
Er3 0.6666 0.3334 0.5000 1
Tm1 0.0833 0.4160 0.7484 1
Tm2 0.2514 0.2514 0.2516 1
Tm3 0.4160 0.0833 0.7484 1
Tm4 0.5840 0.9166 0.2516 1
Tm5 0.7486 0.7486 0.7484 1
Tm6 0.9166 0.5840 0.2516 1
```